# PBE SrHf2Hg2, relaxed
data_SrHf2Hg2
_cell_length_a 8.7944
_cell_length_b 8.7944
_cell_length_c 3.1780
_cell_angle_alpha 90.00
_cell_angle_beta 90.00
_cell_angle_gamma 90.00
_symmetry_space_group_name_H-M 'P 1'
_symmetry_Int_Tables_number 1
_symmetry_space_group_name_Hall 'P 1'
loop_
_atom_site_label
_atom_site_fract_x
_atom_site_fract_y
_atom_site_fract_z
Sr1 0.0000 0.0000 0.0000
Sr2 0.5000 0.5000 0.0000
Hf1 0.3817 0.8817 0.0000
Hf2 0.8817 0.6183 0.0000
Hf3 0.6183 0.1183 0.0000
Hf4 0.1183 0.3817 0.0000
Hg1 0.1777 0.6777 0.5000
Hg2 0.6777 0.8223 0.5000
Hg3 0.8223 0.3223 0.5000
Hg4 0.3223 0.1777 0.5000
# **Raw total energy**: -0.3208 Ry/atom
# **Energy relative to the lowest polymorph listed for this composition**: 0 meV per atom
# **DFT formation energy**: 7.1 kJ per mole of atoms